Compound: Ac2ErAg
Source: Alexandria via LeMat-Bulk
Functional: PBE
Structure: relaxed

Cell and atoms, written as POSCAR:
```
Ac2ErAg
1.0
3.960 0.000 0.000
0.000 3.960 0.000
0.000 0.000 8.852
Ac Er Ag
2 1 1
direct
0.000 0.000 0.223
0.000 0.000 0.777
0.500 0.500 0.500
0.500 0.500 0.000
```

Results
**Total magnetization**: 0.00 μB per formula unit
**Polymorph energy (0 for the lowest one)**: 0.000 eV/atom
**ΔE_f**: -74 meV per atom
**Uncorrected energy**: -0.1463 Ha/atom
**Space group**: P4/mmm